(1)
# Nd2TmAs (PBE-GGA, relaxed)
data_Nd2TmAs
_cell_length_a 3.9795
_cell_length_b 3.9795
_cell_length_c 28.4271
_cell_angle_alpha 90.00
_cell_angle_beta 90.00
_cell_angle_gamma 120.00
_symmetry_space_group_name_H-M 'R -3 m'
_symmetry_Int_Tables_number 166
_symmetry_space_group_name_Hall '-R 3 2"'
loop_
_atom_site_label
_atom_site_type_symbol
_atom_site_fract_x
_atom_site_fract_y
_atom_site_fract_z
Nd1 Nd 0.0000 0.0000 0.2300
Tm1 Tm 0.0000 0.0000 0.0000
As1 As 0.0000 0.0000 0.5000
# - Magnetization: 0.267 μB/atom
# - Density of states at the Fermi level: 1.305 states/eV/atom
# - Formation energy: -535.0 meV per atom



(2)
# ReW (PBE-GGA, relaxed)
data_ReW
_cell_length_a 3.1480
_cell_length_b 4.4600
_cell_length_c 8.8969
_cell_angle_alpha 90.00
_cell_angle_beta 90.00
_cell_angle_gamma 90.00
_symmetry_space_group_name_H-M 'C m m e'
_symmetry_Int_Tables_number 67
_symmetry_space_group_name_Hall '-C 2a 2'
loop_
_atom_site_label
_atom_site_type_symbol
_atom_site_fract_x
_atom_site_fract_y
_atom_site_fract_z
Re1 Re 0.0000 0.2500 0.1241
W1 W 0.0000 0.2500 0.6272
# - Magnetization: 0.000 μB/atom
# - Density of states at the Fermi level: 0.800 states/eV/atom
# - Formation energy: 146.6 meV per atom
# - E above lowest polymorph: 0.11 eV per formula unit



(3)
# K4BaTa3O12 (PBE-GGA, relaxed)
data_K4BaTa3O12
_cell_length_a 8.5333
_cell_length_b 8.5333
_cell_length_c 8.5333
_cell_angle_alpha 90.00
_cell_angle_beta 90.00
_cell_angle_gamma 90.00
_symmetry_space_group_name_H-M 'I m -3 m'
_symmetry_Int_Tables_number 229
_symmetry_space_group_name_Hall '-I 4 2 3'
loop_
_atom_site_label
_atom_site_type_symbol
_atom_site_fract_x
_atom_site_fract_y
_atom_site_fract_z
K1 K 0.2500 0.2500 0.2500
Ba1 Ba 0.0000 0.0000 0.0000
Ta1 Ta 0.0000 0.0000 0.5000
O1 O 0.0000 0.0000 0.2804
O2 O 0.0000 0.2500 0.5000
# - Magnetization: 0.088 μB/atom
# - Density of states at the Fermi level: 0.488 states/eV/atom
# - Electronic total energy: -7.21 eV/atom